No. 1
Er2ZnPd: optimized geometry, GGA-PBE.

Summary:
Fermi-level density of states: 10.47 states/eV per cell
Relative energy among the computed polymorphs: 0.590 kcal/mol of atoms
Size of the total moment: 0.00 Bohr magnetons per cell
E_form: -0.627 eV per atom

Unit cell a=7.0130 b=7.0130 c=7.0130 alpha=90.00 beta=90.00 gamma=90.00
With the nearest neighbours (Å) after each atom.
Space group Fm-3m (No. 225)
Unique sites:
Er1 0.2500 0.2500 0.2500 (multiplicity 8)  4 Pd 3.04, 4 Zn 3.04
Zn1 0.0000 0.0000 0.0000 (multiplicity 4)  8 Er 3.04
Pd1 0.0000 0.0000 0.5000 (multiplicity 4)  8 Er 3.04

No. 2
ErZn5Pd2: optimized geometry, GGA-PBE.

Summary:
Fermi-level density of states: 6.61 states/eV per cell
Size of the total moment: 0.00 Bohr magnetons per cell
E_form: -0.418 eV per atom

Unit cell a=3.6165 b=7.7221 c=9.8948 alpha=90.00 beta=90.00 gamma=90.00
With the nearest neighbours (Å) after each atom.
Space group Immm (No. 71)
Unique sites:
Er1 0.0000 0.0000 0.0000 (multiplicity 2)  4 Pd 2.96, 8 Zn 3.27
Zn1 0.0000 0.1951 0.3614 (multiplicity 8)  3 Pd 2.55-2.65, 3 Zn 2.72-2.74
Zn2 0.0000 0.5000 0.0000 (multiplicity 2)  2 Pd 2.60, 8 Zn 2.72
Pd1 0.0000 0.5000 0.2625 (multiplicity 4)  7 Zn 2.55-2.65